VASP calculation (PBE-GGA) on LiCuTeIrS2 after structural relaxation.

Cell: 6.624 6.624 9.588 Å, 90.00 90.00 148.62°
Sites, in units of the cell vectors:
Cu: 0.044 0.956 0.250
Cu: 0.956 0.044 0.750
Ir: 0.500 0.500 0.000
Ir: 0.500 0.500 0.500
Li: 0.702 0.298 0.250
Li: 0.298 0.702 0.750
S: 0.124 0.876 0.044
S: 0.124 0.876 0.456
S: 0.876 0.124 0.544
S: 0.876 0.124 0.956
Te: 0.393 0.607 0.250
Te: 0.607 0.393 0.750

total energy: -27.96 eV/f.u.
magnetization: 0.0 μB/f.u.
crystal system: orthorhombic